1.
## LiGe3 (PBE)

Data for crystalline LiGe3 at its relaxed geometry. Values from VASP.

Structure (Quantum ESPRESSO input):
```
&SYSTEM
  ibrav = 0, nat = 4, ntyp = 2
/
ATOMIC_SPECIES
Ge 72.64 Ge.upf
Li 6.94 Li.upf
CELL_PARAMETERS angstrom
3.056 0.000 0.000
0.000 5.019 0.000
-1.528 -2.509 4.736
ATOMIC_POSITIONS crystal
Ge 0.250 0.580 0.500
Ge 0.500 0.503 0.000
Ge 0.750 0.080 0.500
Li 0.000 0.003 0.000
```

Summary:
The value obtained for the density of states at the Fermi level is 1.515 states/eV/cell. For the formation energy from the elements, the calculation gives 0.04 eV per atom. For the electronic total energy, the calculation gives -15.6 eV for the cell shown. As for the symmetry: Imm2 (44). The calculation puts the total magnetic moment at 0.0 μB/f.u.

=====

2.
## Nd8ScIn2 (PBE)

Data for crystalline Nd8ScIn2 at its relaxed geometry. Values from VASP.

Structure (Quantum ESPRESSO input):
```
&SYSTEM
  ibrav = 0, nat = 11, ntyp = 3
/
ATOMIC_SPECIES
Nd 144.24 Nd.upf
Sc 44.96 Sc.upf
In 114.82 In.upf
CELL_PARAMETERS angstrom
-6.174 0.296 -0.750
-4.802 -8.727 0.892
-5.336 -5.170 6.694
ATOMIC_POSITIONS crystal
Nd 0.262 0.498 0.498
Nd 0.770 0.429 0.912
Nd 0.770 0.912 0.429
Nd 0.230 0.571 0.088
Sc 0.000 0.000 0.000
Nd 0.316 0.129 0.129
Nd 0.230 0.088 0.571
Nd 0.738 0.502 0.502
In 0.244 0.680 0.680
In 0.756 0.320 0.320
Nd 0.684 0.871 0.871
```

Summary:
The value obtained for the density of states at the Fermi level is 18.039 states/eV/cell. For the formation energy from the elements, the calculation gives -0.08 eV per atom. For the electronic total energy, the calculation gives -50.8 eV for the cell shown. As for the symmetry: C2/m (12). The calculation puts the total magnetic moment at 0.0 μB/f.u.

=====

3.
## InTcAgSb2 (PBE)

Data for crystalline InTcAgSb2 at its relaxed geometry. Values from VASP.

Structure (Quantum ESPRESSO input):
```
&SYSTEM
  ibrav = 0, nat = 5, ntyp = 4
/
ATOMIC_SPECIES
Sb 121.76 Sb.upf
In 114.82 In.upf
Tc 98.00 Tc.upf
Ag 107.87 Ag.upf
CELL_PARAMETERS angstrom
5.133 0.000 0.000
0.000 5.261 0.000
0.000 0.000 5.133
ATOMIC_POSITIONS crystal
Sb 0.500 0.000 0.000
Sb 0.000 0.000 0.500
In 0.000 0.500 0.000
Tc 0.000 0.000 0.000
Ag 0.500 0.500 0.500
```

Summary:
The value obtained for the density of states at the Fermi level is 4.194 states/eV/cell. For the electronic total energy, the calculation gives -22.1 eV for the cell shown. The calculation puts the formation energy (no corrections) at 427 meV/atom. As for the symmetry: P4/mmm (123). The calculation puts the total magnetic moment at 0.0 μB/f.u.

=====

4.
## ErAl9Ni3 (PBE)

Data for crystalline ErAl9Ni3 at its relaxed geometry. Values from VASP.

Structure (Quantum ESPRESSO input):
```
&SYSTEM
  ibrav = 0, nat = 26, ntyp = 3
/
ATOMIC_SPECIES
Er 167.26 Er.upf
Al 26.98 Al.upf
Ni 58.69 Ni.upf
CELL_PARAMETERS angstrom
-9.006 -4.236 1.398
-4.288 -6.311 6.542
-7.345 0.291 6.854
ATOMIC_POSITIONS crystal
Er 0.167 0.167 0.167
Al 0.718 0.718 0.718
Ni 0.582 0.241 0.922
Al 0.567 0.897 0.237
Al 0.666 0.334 0.000
Al 0.103 0.433 0.763
Ni 0.418 0.078 0.759
Al 0.000 0.666 0.334
Al 0.237 0.567 0.897
Ni 0.241 0.922 0.582
Ni 0.922 0.582 0.241
Al 0.613 0.613 0.613
Al 0.709 0.500 0.291
Er 0.833 0.833 0.833
Al 0.763 0.103 0.433
Al 0.433 0.763 0.103
Al 0.291 0.709 0.500
Ni 0.078 0.759 0.418
Al 0.334 0.000 0.666
Al 0.052 0.052 0.052
Al 0.282 0.282 0.282
Ni 0.759 0.418 0.078
Al 0.500 0.291 0.709
Al 0.897 0.237 0.567
Al 0.387 0.387 0.387
Al 0.948 0.948 0.948
```

Summary:
The value obtained for the density of states at the Fermi level is 3.852 states/eV/cell. For the formation energy from the elements, the calculation gives -0.53 eV per atom. For the electronic total energy, the calculation gives -124.9 eV for the cell shown. As for the symmetry: R32 (155). The calculation puts the total magnetic moment at 0.0 μB/f.u.